# 1
DFT (PBE) results for a relaxed structure of DyLuCSe.

Cell: 3.712 3.712 13.105 Å, 90.00 90.00 120.00°
Sites, in units of the cell vectors:
C  0.000  0.000  0.245
C  0.000  0.000  0.755
Dy  0.667  0.333  0.347
Dy  0.667  0.333  0.653
Lu  0.333  0.667  0.148
Lu  0.333  0.667  0.852
Se  0.667  0.333  0.000
Se  0.333  0.667  0.500

Output
- Uncorrected energy: -6.6286 eV per atom
- SG: P-6m2 (187)



# 2
DFT (PBE) results for a relaxed structure of Li2Zr2AlGaFe2.

Cell: 4.349 4.349 6.151 Å, 90.00 90.00 90.00°
Each line ends with the local moment (μB).
Sites, in units of the cell vectors:
Al  0.000  0.000  0.000  0.02
Fe  0.000  0.500  0.248  1.46
Fe  0.500  0.000  0.752  1.46
Ga  0.500  0.500  0.500  0.04
Li  0.500  0.000  0.252  -0.01
Li  0.000  0.500  0.748  -0.01
Zr  0.500  0.500  0.000  0.01
Zr  0.000  0.000  0.500  0.04

Output
- Uncorrected energy: -5.7113 eV per atom
- SG: P-4m2 (115)



# 3
DFT (PBE) results for a relaxed structure of Y2In8Pt.

Cell: 4.693 4.693 12.092 Å, 90.00 90.00 90.00°
Sites, in units of the cell vectors:
In  0.500  0.000  0.127
In  0.000  0.500  0.127
In  0.500  0.500  0.309
In  0.500  0.000  0.500
In  0.000  0.500  0.500
In  0.500  0.500  0.691
In  0.500  0.000  0.873
In  0.000  0.500  0.873
Pt  0.000  0.000  0.000
Y  0.000  0.000  0.311
Y  0.000  0.000  0.689

Output
- Uncorrected energy: -4.1456 eV per atom
- SG: P4/mmm (123)



# 4
DFT (PBE) results for a relaxed structure of Tm2CuTe6.

Cell: 8.302 8.302 3.962 Å, 90.00 90.00 120.00°
Sites, in units of the cell vectors:
Cu  0.000  0.000  0.000
Te  0.551  0.000  0.000
Te  0.449  0.449  0.000
Te  0.000  0.551  0.000
Te  0.231  0.000  0.500
Te  0.000  0.231  0.500
Te  0.769  0.769  0.500
Tm  0.667  0.333  0.500
Tm  0.333  0.667  0.500

Output
- Uncorrected energy: -4.1477 eV per atom
- SG: P-62m (189)



# 5
DFT (PBE) results for a relaxed structure of LuZrPb.

Cell: 5.076 5.076 5.076 Å, 60.00 60.00 60.00°
Sites, in units of the cell vectors:
Lu  0.000  0.000  0.000
Pb  0.250  0.250  0.250
Zr  0.750  0.750  0.750

Output
- Uncorrected energy: -5.0035 eV per atom
- SG: F-43m (216)



# 6
DFT (PBE) results for a relaxed structure of Li6Hf4O11.

Cell: 11.164 5.349 5.299 Å, 102.85 100.38 119.36°
Sites, in units of the cell vectors:
Hf  0.924  0.158  0.000
Hf  0.086  0.831  0.016
Hf  0.605  0.888  0.953
Hf  0.396  0.112  0.972
Li  0.737  0.684  0.429
Li  0.482  0.096  0.504
Li  0.133  0.591  0.515
Li  0.025  0.988  0.528
Li  0.829  0.318  0.532
Li  0.296  0.323  0.556
O  0.781  0.958  0.212
O  0.591  0.202  0.238
O  0.985  0.585  0.242
O  0.303  0.025  0.261
O  0.096  0.202  0.270
O  0.397  0.788  0.713
O  0.717  0.023  0.717
O  0.905  0.776  0.743
O  0.203  0.026  0.762
O  0.026  0.403  0.768
O  0.501  0.435  0.824

Output
- Polymorph energy (0 for the lowest one): 0 kJ/mol of formula units
- Uncorrected energy: -7.8539 eV per atom
- SG: P1 (1)



# 7
DFT (PBE) results for a relaxed structure of KHfAg.

Cell: 4.961 4.961 4.961 Å, 60.00 60.00 60.00°
Sites, in units of the cell vectors:
Ag  0.250  0.250  0.250
Hf  0.750  0.750  0.750
K  0.000  0.000  0.000

Output
- Polymorph energy (0 for the lowest one): 180 kJ/mol of formula units
- Uncorrected energy: -2.8636 eV per atom
- SG: F-43m (216)



# 8
DFT (PBE) results for a relaxed structure of TaBe2Hg.

Cell: 4.410 4.410 4.410 Å, 60.00 60.00 60.00°
Each line ends with the local moment (μB).
Sites, in units of the cell vectors:
Be  0.000  0.000  0.000  0.00
Be  0.250  0.250  0.250  0.00
Hg  0.500  0.500  0.500  0.00
Ta  0.750  0.750  0.750  0.08

Output
- Uncorrected energy: -4.1322 eV per atom
- SG: F-43m (216)



# 9
DFT (PBE) results for a relaxed structure of PrSm.

Cell: 4.721 4.721 4.721 Å, 60.00 60.00 60.00°
Sites, in units of the cell vectors:
Pr  0.000  0.000  0.000
Sm  0.250  0.250  0.250

Output
- Polymorph energy (0 for the lowest one): 302 kJ/mol of formula units
- Formation energy from the elements: 1.58 eV per atom
- Uncorrected energy: -3.1595 eV per atom
- SG: F-43m (216)



# 10
DFT (PBE) results for a relaxed structure of HoEr2In3Ir2Au.

Cell: 3.828 7.669 7.669 Å, 120.10 90.00 90.00°
Sites, in units of the cell vectors:
Au  0.000  0.000  0.000
Er  0.000  0.409  0.000
Er  0.000  0.000  0.409
Ho  0.000  0.591  0.591
In  0.500  0.730  0.000
In  0.500  0.270  0.270
In  0.500  0.000  0.730
Ir  0.500  0.667  0.333
Ir  0.500  0.333  0.667

Output
- Uncorrected energy: -5.4718 eV per atom
- SG: Amm2 (38)



# 11
DFT (PBE) results for a relaxed structure of ErCuAu.

Cell: 4.646 4.646 4.646 Å, 60.00 60.00 60.00°
Sites, in units of the cell vectors:
Au  0.250  0.250  0.250
Cu  0.750  0.750  0.750
Er  0.000  0.000  0.000

Output
- Formation energy from the elements: -0.13 eV per atom
- Uncorrected energy: -3.9762 eV per atom
- SG: F-43m (216)



# 12
DFT (PBE) results for a relaxed structure of DyScCu.

Cell: 4.616 4.616 4.616 Å, 60.00 60.00 60.00°
Sites, in units of the cell vectors:
Cu  0.250  0.250  0.250
Dy  0.000  0.000  0.000
Sc  0.750  0.750  0.750

Output
- Polymorph energy (0 for the lowest one): 188 kJ/mol of formula units
- Formation energy from the elements: 0.72 eV per atom
- Uncorrected energy: -4.1633 eV per atom
- SG: F-43m (216)